[1]
Density functional theory data (PBEsol) for an optimized crystal structure of LiYRh2.

- Total energy: -26.3 eV per cell
- Spin magnetization: 0.00 Bohr magnetons per cell
- Formation enthalpy at 0 K: -1.197 eV per formula unit
- Space group: I-4m2, No. 119
- Volume: 16.0 Å³ per atom

a b c (Å): 5.0392 5.0392 5.0392
angles (deg): 134.48 134.48 66.34
Closest atoms and distances in Å follow each position.
Atoms (fractional coordinates):
Li (0.0000, 0.0000, 0.0000)  8 Rh 2.76-2.87, 4 Y 2.87
Y (0.2500, 0.7500, 0.5000)  8 Rh 2.76-2.87, 4 Li 2.87
Rh (0.5000, 0.5000, 0.0000)  4 Li 2.76, 4 Rh 2.87, 4 Y 2.87
Rh (0.7500, 0.2500, 0.5000)  4 Y 2.76, 4 Li 2.87, 4 Rh 2.87

=====

[2]
Density functional theory data (PBEsol) for an optimized crystal structure of BP3Ir.

- Total energy: -30.8 eV per cell
- Spin magnetization: 0.00 Bohr magnetons per cell
- Formation enthalpy at 0 K: 3.441 eV per formula unit
- Space group: Pm-3m, No. 221
- Volume: 12.4 Å³ per atom

a b c (Å): 3.9617 3.9617 3.9617
angles (deg): 90.00 90.00 90.00
Closest atoms and distances in Å follow each position.
Atoms (fractional coordinates):
B (0.0000, 0.0000, 0.0000)  6 P 1.98
P (0.0000, 0.0000, 0.5000)  2 B 1.98
P (0.0000, 0.5000, 0.0000)  2 B 1.98
P (0.5000, 0.0000, 0.0000)  2 B 1.98
Ir (0.5000, 0.5000, 0.5000)  12 P 2.80

=====

[3]
Density functional theory data (PBEsol) for an optimized crystal structure of ZrOsBr2.

- Total energy: -25.6 eV per cell
- Polymorph energy (0 for the lowest one): 120.0 meV/atom
- Spin magnetization: 0.00 Bohr magnetons per cell
- Space group: P4mm, No. 99
- Volume: 21.5 Å³ per atom
- Energy relative to the elements, uncorrected: -0.1375 eV per atom

a b c (Å): 3.1689 3.1689 8.5551
angles (deg): 90.00 90.00 90.00
Closest atoms and distances in Å follow each position.
Atoms (fractional coordinates):
Zr (0.0000, 0.0000, 0.0000)  4 Os 2.76, 4 Br 2.96
Os (0.5000, 0.5000, 0.8123)  4 Zr 2.76, 4 Br 2.89
Br (0.0000, 0.0000, 0.5981)  4 Os 2.89, 4 Br 3.17
Br (0.5000, 0.5000, 0.2255)  4 Zr 2.96, 4 Br 3.17

=====

[4]
Density functional theory data (PBEsol) for an optimized crystal structure of Mg2NbFeTe.

- Total energy: -21.2 eV per cell
- Spin magnetization: 0.89 Bohr magnetons per cell
- Space group: P4/mmm, No. 123
- Volume: 25.0 Å³ per atom
- Energy relative to the elements, uncorrected: 1.1048 eV per atom

a b c (Å): 5.3774 5.3774 4.3152
angles (deg): 90.00 90.00 90.00
Closest atoms and distances in Å follow each position.
Atoms (fractional coordinates):
Mg (0.0000, 0.5000, 0.0000)  2 Nb 2.69
Mg (0.5000, 0.0000, 0.0000)  2 Nb 2.69
Nb (0.0000, 0.0000, 0.0000)  2 Fe 2.16
Fe (0.0000, 0.0000, 0.5000)  2 Nb 2.16
Te (0.5000, 0.5000, 0.5000)  8 Mg 3.45, 4 Fe 3.80

=====

[5]
Density functional theory data (PBEsol) for an optimized crystal structure of LiP2PdS.

- Total energy: -20.4 eV per cell
- Spin magnetization: 0.00 Bohr magnetons per cell
- Space group: P4/mmm, No. 123
- Volume: 15.2 Å³ per atom
- Energy relative to the elements, uncorrected: 0.6903 eV per atom

a b c (Å): 4.1945 4.1945 4.3126
angles (deg): 90.00 90.00 90.00
Closest atoms and distances in Å follow each position.
Atoms (fractional coordinates):
Li (0.0000, 0.0000, 0.0000)  4 P 2.10, 2 S 2.16
P (0.0000, 0.5000, 0.0000)  2 Li 2.10
P (0.5000, 0.0000, 0.0000)  2 Li 2.10
Pd (0.5000, 0.5000, 0.5000)  4 S 2.97, 8 P 3.01
S (0.0000, 0.0000, 0.5000)  2 Li 2.16

=====

[6]
Density functional theory data (PBEsol) for an optimized crystal structure of Sb2WAu.

- Total energy: -25.0 eV per cell
- Polymorph energy (0 for the lowest one): 124.5 meV/atom
- Spin magnetization: 0.00 Bohr magnetons per cell
- Space group: Imm2, No. 44
- Volume: 21.5 Å³ per atom
- Energy relative to the elements, uncorrected: 0.4561 eV per atom

a b c (Å): 6.9022 6.9022 6.9022
angles (deg): 154.71 142.16 46.07
Closest atoms and distances in Å follow each position.
Atoms (fractional coordinates):
Sb (0.0000, 0.0000, 0.0000)  2 W 2.89, 2 Sb 3.02, 4 Au 3.07
Sb (0.7145, 0.2145, 0.5000)  4 W 2.71, 2 Sb 3.02
W (0.1942, 0.6942, 0.5000)  6 Sb 2.71-2.89, 2 Au 2.86, 2 W 3.02
Au (0.3856, 0.3856, 0.0000)  2 W 2.86, 2 Au 3.02, 6 Sb 3.07-3.12

=====

Number 1: N(E_F) 0.59 states/eV per atom. Number 2: N(E_F) 0.39 states/eV per atom. Number 3: N(E_F) 0.92 states/eV per atom. Number 4: N(E_F) 0.99 states/eV per atom. Number 5: N(E_F) 0.56 states/eV per atom. Number 6: N(E_F) 0.45 states/eV per atom.